Entry 1:
Here is an optimized crystal structure of Ba2AcNdSe4 from Alexandria. Energies are from PBE.

Cell lengths 7.751, 4.484, 7.931 Å; angles 90.00, 109.02, 90.00 degrees
Positions (direct):
Ba 0.000 0.000 0.000
Ba 0.500 0.500 0.000
Ac 0.000 0.500 0.500
Nd 0.500 0.000 0.500
Se 0.251 0.000 0.730
Se 0.265 0.500 0.274
Se 0.735 0.500 0.726
Se 0.749 0.000 0.270

Values from the calculation:
- energy (hartree per atom) = -0.193
- raw formation energy (eV per atom) = -1.930
- space-group type = P2/m, No. 10
- crystal system = monoclinic

Entry 2:
Here is an optimized crystal structure of PmSb2Mo from Alexandria. Energies are from PBE.

Cell lengths 3.259, 3.259, 32.640 Å; angles 90.00, 90.00, 120.00 degrees
Positions (direct):
Pm 0.000 0.000 0.000
Pm 0.333 0.667 0.667
Pm 0.667 0.333 0.333
Sb 0.000 0.000 0.416
Sb 0.000 0.000 0.584
Sb 0.333 0.667 0.083
Sb 0.333 0.667 0.250
Sb 0.667 0.333 0.750
Sb 0.667 0.333 0.917
Mo 0.000 0.000 0.500
Mo 0.333 0.667 0.167
Mo 0.667 0.333 0.833

Values from the calculation:
- energy (hartree per atom) = -0.203
- raw formation energy (eV per atom) = 0.442
- space-group type = R-3m, No. 166
- crystal system = trigonal
- E above lowest polymorph (meV per atom) = 611

Entry 3:
Here is an optimized crystal structure of Tl2Te5As from Alexandria. Energies are from PBE.

Cell lengths 15.539, 6.535, 7.289 Å; angles 90.00, 117.94, 90.00 degrees
Positions (direct):
Tl 0.000 0.000 0.000
Tl 0.007 0.500 0.506
Tl 0.500 0.500 0.000
Tl 0.507 0.000 0.506
Te 0.057 0.000 0.556
Te 0.315 0.277 0.087
Te 0.315 0.723 0.087
Te 0.316 0.277 0.543
Te 0.316 0.723 0.543
Te 0.557 0.500 0.556
Te 0.815 0.223 0.087
Te 0.815 0.777 0.087
Te 0.816 0.223 0.543
Te 0.816 0.777 0.543
As 0.244 0.000 0.743
As 0.744 0.500 0.743

Values from the calculation:
- energy (hartree per atom) = -0.115
- raw formation energy (eV per atom) = 0.020
- space-group type = Cm, No. 8
- crystal system = monoclinic

Entry 4:
Here is an optimized crystal structure of YAs2Pb from Alexandria. Energies are from PBE.

Cell lengths 7.311, 7.311, 7.311 Å; angles 90.00, 90.00, 90.00 degrees
Positions (direct):
Y 0.000 0.000 0.000
Y 0.000 0.500 0.500
Y 0.500 0.000 0.500
Y 0.500 0.500 0.000
As 0.000 0.000 0.500
As 0.000 0.500 0.000
As 0.250 0.250 0.750
As 0.250 0.750 0.250
As 0.500 0.000 0.000
As 0.500 0.500 0.500
As 0.750 0.250 0.250
As 0.750 0.750 0.750
Pb 0.250 0.250 0.250
Pb 0.250 0.750 0.750
Pb 0.750 0.250 0.750
Pb 0.750 0.750 0.250

Values from the calculation:
- energy (hartree per atom) = -0.182
- space-group type = F-43m, No. 216
- crystal system = cubic
- formation energy from the elements (eV/atom) = -0.082

Entry 5:
Here is an optimized crystal structure of LiAc4Ga3 from Alexandria. Energies are from PBE.

Cell lengths 16.839, 5.558, 5.558 Å; angles 90.00, 109.19, 90.00 degrees
Positions (direct):
Li 0.000 0.000 0.000
Li 0.500 0.500 0.000
Ac 0.130 0.000 0.630
Ac 0.130 0.500 0.130
Ac 0.370 0.000 0.870
Ac 0.370 0.500 0.370
Ac 0.630 0.000 0.130
Ac 0.630 0.500 0.630
Ac 0.870 0.000 0.370
Ac 0.870 0.500 0.870
Ga 0.000 0.500 0.500
Ga 0.247 0.000 0.246
Ga 0.253 0.500 0.754
Ga 0.500 0.000 0.500
Ga 0.747 0.500 0.246
Ga 0.753 0.000 0.754

Values from the calculation:
- energy (hartree per atom) = -0.138
- space-group type = C2/m, No. 12
- crystal system = monoclinic
- formation energy from the elements (eV/atom) = -0.336

Entry 6:
Here is an optimized crystal structure of Ti15Nb2Sn2 from Alexandria. Energies are from PBE.

Cell lengths 7.157, 7.157, 7.157 Å; angles 77.90, 77.90, 77.90 degrees
Positions (direct):
Ti 0.000 0.000 0.500
Ti 0.000 0.300 0.700
Ti 0.000 0.500 0.000
Ti 0.000 0.700 0.300
Ti 0.171 0.618 0.618
Ti 0.300 0.000 0.700
Ti 0.300 0.700 0.000
Ti 0.382 0.382 0.829
Ti 0.382 0.829 0.382
Ti 0.500 0.000 0.000
Ti 0.618 0.171 0.618
Ti 0.618 0.618 0.171
Ti 0.700 0.000 0.300
Ti 0.700 0.300 0.000
Ti 0.829 0.382 0.382
Nb 0.092 0.092 0.092
Nb 0.908 0.908 0.908
Sn 0.300 0.300 0.300
Sn 0.700 0.700 0.700

Values from the calculation:
- energy (hartree per atom) = -0.275
- space-group type = R-3m, No. 166
- crystal system = trigonal
- formation energy from the elements (eV/atom) = 0.242

Entry 7:
Here is an optimized crystal structure of AcCd3Ni from Alexandria. Energies are from PBE.

Cell lengths 5.036, 5.036, 5.036 Å; angles 90.00, 90.00, 90.00 degrees
Positions (direct):
Ac 0.000 0.000 0.000
Cd 0.000 0.500 0.500
Cd 0.500 0.000 0.500
Cd 0.500 0.500 0.000
Ni 0.500 0.500 0.500

Values from the calculation:
- energy (hartree per atom) = -0.097
- space-group type = Pm-3m, No. 221
- crystal system = cubic
- E above lowest polymorph (meV per atom) = 102
- formation energy from the elements (eV/atom) = -0.125

Entry 8:
Here is an optimized crystal structure of K3Sm3TiO8 from Alexandria. Energies are from PBE.

Cell lengths 7.458, 7.458, 7.458 Å; angles 55.07, 55.07, 55.07 degrees
Positions (direct):
K 0.000 0.500 0.500
K 0.500 0.000 0.500
K 0.500 0.500 0.000
Sm 0.000 0.000 0.500
Sm 0.000 0.500 0.000
Sm 0.500 0.000 0.000
Ti 0.500 0.500 0.500
O 0.230 0.230 0.230
O 0.264 0.703 0.703
O 0.297 0.297 0.736
O 0.297 0.736 0.297
O 0.703 0.264 0.703
O 0.703 0.703 0.264
O 0.736 0.297 0.297
O 0.770 0.770 0.770

Values from the calculation:
- energy (hartree per atom) = -0.260
- raw formation energy (eV per atom) = -2.735
- space-group type = R-3m, No. 166
- crystal system = trigonal

Entry 9:
Here is an optimized crystal structure of LiHoAl2 from Alexandria. Energies are from PBE.

Cell lengths 6.848, 6.848, 6.848 Å; angles 90.00, 90.00, 90.00 degrees
Positions (direct):
Li 0.000 0.000 0.000
Li 0.000 0.500 0.500
Li 0.500 0.000 0.500
Li 0.500 0.500 0.000
Ho 0.000 0.000 0.500
Ho 0.000 0.500 0.000
Ho 0.500 0.000 0.000
Ho 0.500 0.500 0.500
Al 0.250 0.250 0.250
Al 0.250 0.250 0.750
Al 0.250 0.750 0.250
Al 0.250 0.750 0.750
Al 0.750 0.250 0.250
Al 0.750 0.250 0.750
Al 0.750 0.750 0.250
Al 0.750 0.750 0.750

Values from the calculation:
- energy (hartree per atom) = -0.137
- space-group type = Fm-3m, No. 225
- crystal system = cubic
- E above lowest polymorph (meV per atom) = 25
- formation energy from the elements (eV/atom) = -0.237

Entry 10:
Here is an optimized crystal structure of CoCuRe2 from Alexandria. Energies are from PBE.

Cell lengths 8.877, 2.612, 4.632 Å; angles 90.00, 99.29, 90.00 degrees
Positions (direct):
Co 0.000 0.000 0.000
Co 0.500 0.500 0.000
Cu 0.246 0.000 0.769
Cu 0.746 0.500 0.769
Re 0.232 0.500 0.254
Re 0.491 0.000 0.510
Re 0.732 0.000 0.254
Re 0.991 0.500 0.510

Values from the calculation:
- energy (hartree per atom) = -0.324
- space-group type = Cm, No. 8
- crystal system = monoclinic
- E above lowest polymorph (meV per atom) = 41
- formation energy from the elements (eV/atom) = 0.200

Entry 11:
Here is an optimized crystal structure of CePrSmAl from Alexandria. Energies are from PBE.

Cell lengths 7.657, 7.657, 7.657 Å; angles 90.00, 90.00, 90.00 degrees
Positions (direct):
Ce 0.000 0.000 0.000
Ce 0.000 0.500 0.500
Ce 0.500 0.000 0.500
Ce 0.500 0.500 0.000
Pr 0.250 0.250 0.250
Pr 0.250 0.750 0.750
Pr 0.750 0.250 0.750
Pr 0.750 0.750 0.250
Sm 0.250 0.250 0.750
Sm 0.250 0.750 0.250
Sm 0.750 0.250 0.250
Sm 0.750 0.750 0.750
Al 0.000 0.000 0.500
Al 0.000 0.500 0.000
Al 0.500 0.000 0.000
Al 0.500 0.500 0.500

Values from the calculation:
- energy (hartree per atom) = -0.176
- space-group type = F-43m, No. 216
- crystal system = cubic
- formation energy from the elements (eV/atom) = 0.006